# 1
Material: Li3NbSn
Method: DFT, PBE
State: optimized geometry

The offset from the most stable computed form is 0.00 eV per formula unit. Its formation energy is 790 meV per atom. For the total magnetization, the calculation gives 0.75 μB/atom. The density of states at the Fermi level is 0.9385 states/eV per atom.

It has space group Pm-3m (No. 221), with a = 4.894 Å, b = 4.894 Å, c = 4.894 Å, α = 90.00°, β = 90.00° and γ = 90.00°. The inequivalent atoms are Li at (0.000, 0.000, 0.500), Nb at (0.500, 0.500, 0.500) and Sn at (0.000, 0.000, 0.000).

---

# 2
Material: La3Hg2N
Method: DFT, PBE
State: optimized geometry

The value obtained for the formation energy (no corrections) is -755 meV per atom. For the total magnetization, the calculation gives 0.00 μB/atom. The density of states at the Fermi level is 0.8094 states/eV per atom.

It has space group C2/m (No. 12), with a = 16.229 Å, b = 5.164 Å, c = 3.700 Å, α = 90.00°, β = 90.66° and γ = 90.00°. The inequivalent atoms are La at (0.000, 0.000, 0.000), La at (0.113, 0.500, 0.502), Hg at (0.198, 0.000, 0.999) and N at (0.000, 0.500, 0.000).

---

# 3
Material: KMo2Pt
Method: DFT, PBE
State: optimized geometry

The offset from the most stable computed form is 1.09 eV per formula unit. Its formation energy is 678 meV per atom. For the total magnetization, the calculation gives 0.00 μB/atom. The density of states at the Fermi level is 0.9728 states/eV per atom.

It has space group P2/m (No. 10), with a = 2.814 Å, b = 4.518 Å, c = 7.399 Å, α = 90.00°, β = 99.00° and γ = 90.00°. The inequivalent atoms are K at (0.000, 0.000, 0.000), Mo at (0.145, 0.500, 0.646) and Pt at (0.500, 0.000, 0.500).